Computed, not measured: a geometry-optimized SrCdTe2I structure at the PBE level of DFT.

Properties
Raw total energy, eV/atom: -2.208
Formation energy without anion corrections, meV/atom: -121

a b c (Å): 6.4820 6.4820 6.3264
angles (deg): 90.00 90.00 90.00
Positions (direct):
Cd 0.5000 0.5000 0.5000
Sr 0.0000 0.0000 0.0000
Te 0.0000 0.5000 0.0000
Te 0.5000 0.0000 0.0000
I 0.0000 0.0000 0.5000

---

Computed, not measured: a geometry-optimized SrCdTeI2 structure at the PBE level of DFT.

Properties
Raw total energy, eV/atom: -2.064
Formation energy without anion corrections, meV/atom: -297

a b c (Å): 6.2735 6.2735 7.2403
angles (deg): 90.00 90.00 90.00
Positions (direct):
Te 0.5000 0.5000 0.5000
I 0.5000 0.0000 0.0000
I 0.0000 0.5000 0.0000
Cd 0.0000 0.0000 0.5000
Sr 0.0000 0.0000 0.0000

---

Computed, not measured: a geometry-optimized SrCdTeI2 structure at the PBE level of DFT.

Properties
Raw total energy, eV/atom: -2.463
Formation energy without anion corrections, meV/atom: -695

a b c (Å): 5.8174 5.8174 5.8403
angles (deg): 90.00 90.00 90.00
Positions (direct):
I 0.0000 0.5000 0.0000
I 0.5000 0.0000 0.0000
Te 0.0000 0.0000 0.5000
Sr 0.5000 0.5000 0.5000
Cd 0.0000 0.0000 0.0000

---

Computed, not measured: a geometry-optimized SrTl2CdI6 structure at the PBE level of DFT.

Properties
Raw total energy, eV/atom: -2.569
Formation energy without anion corrections, meV/atom: -906

a b c (Å): 8.5024 8.5027 8.7122
angles (deg): 60.78 60.78 59.98
Positions (direct):
I 0.1011 0.4566 0.7746
I 0.1868 0.9808 0.2576
I 0.9809 0.5748 0.2576
I 0.4565 0.6679 0.7743
I 0.6680 0.1009 0.7747
I 0.5746 0.1869 0.2577
Sr 0.8204 0.8204 0.5387
Cd 0.3207 0.3206 0.0379
Tl 0.5270 0.5268 0.4194
Tl 0.0258 0.0259 0.9227

---

Computed, not measured: a geometry-optimized SrY2CdI structure at the PBE level of DFT.

Properties
Raw total energy, eV/atom: -2.509
Formation energy without anion corrections, meV/atom: 906

a b c (Å): 6.2013 5.8264 6.2013
angles (deg): 90.00 90.00 90.00
Positions (direct):
Cd 0.0000 0.5000 0.0000
Y 0.5000 0.0000 0.0000
Y 0.0000 0.0000 0.5000
I 0.5000 0.5000 0.5000
Sr 0.0000 0.0000 0.0000

---

Computed, not measured: a geometry-optimized TaCd2I structure at the PBE level of DFT.

Properties
Raw total energy, eV/atom: -2.993
Formation energy without anion corrections, meV/atom: 815

a b c (Å): 9.3303 9.3303 7.1255
angles (deg): 49.10 49.10 90.00
Positions (direct):
I 0.2500 0.7500 0.5000
I 0.5000 0.5000 0.0000
Ta 0.7500 0.2500 0.5000
Ta 0.0000 0.0000 0.0000
Cd 0.3750 0.2917 0.7500
Cd 0.8750 0.9583 0.7500
Cd 0.0417 0.6250 0.2500
Cd 0.7083 0.1250 0.2500

---

Number 2 is which compound?
SrCdTeI2

---

Which value of formation energy without anion corrections does entry 5 give?
906 meV/atom

---

Which formula does entry 4 have?
SrTl2CdI6